NbFe2PbO6: optimized geometry, PBE+U.

Properties
M_tot, μB per cell: 9.0
Electronic total energy, eV per cell: -72.2
V, Å³ per atom: 12.89

```
10
Lattice="5.422 0.000 0.000 -2.689 4.712 0.000 -0.105 -3.078 5.045" Properties=species:S:1:pos:R:3 pbc="T T T"
Nb 0.000 0.000 0.000
Fe -0.052 0.024 3.128
Fe 2.712 1.578 0.519
Pb 0.003 3.165 2.195
O -1.074 1.082 1.504
O 0.832 -1.537 4.232
O 1.450 0.403 1.464
O 0.829 1.738 4.251
O 2.292 3.244 1.451
O 3.444 0.048 4.246
```

Pm2NbFeO6: optimized geometry, PBE+U.

Properties
M_tot, μB per cell: 0.7
Electronic total energy, eV per cell: -78.1
V, Å³ per atom: 12.82

```
10
Lattice="5.562 0.000 0.000 0.000 5.562 0.000 0.000 0.000 4.143" Properties=species:S:1:pos:R:3 pbc="T T T"
Pm 0.000 2.781 0.000
Pm 2.781 0.000 0.000
Nb 0.000 0.000 2.398
Fe 2.781 2.781 2.539
O 0.000 0.000 0.383
O 1.403 1.403 2.652
O 1.403 4.160 2.652
O 2.781 2.781 0.472
O 4.160 1.403 2.652
O 4.160 4.160 2.652
```

PmNbFe2O6: optimized geometry, PBE+U.

Properties
M_tot, μB per cell: 3.9
Electronic total energy, eV per cell: -77.1
V, Å³ per atom: 12.47

```
10
Lattice="5.424 0.000 0.000 2.710 4.699 0.000 2.619 1.617 4.891" Properties=species:S:1:pos:R:3 pbc="T T T"
Pm 0.000 0.000 0.000
Nb 5.401 3.168 2.218
Fe 2.700 1.593 1.778
Fe 8.090 4.769 4.087
O 4.604 4.742 3.072
O 3.900 2.950 0.793
O 4.454 1.651 3.095
O 6.032 4.582 0.813
O 7.179 3.042 3.069
O 6.346 1.942 0.742
```

Nb2FePtO: optimized geometry, PBE+U.

Properties
M_tot, μB per cell: 2.7
Electronic total energy, eV per cell: -31.2
V, Å³ per atom: 19.36

```
5
Lattice="5.045 0.000 0.000 0.000 5.045 0.000 0.000 0.000 3.802" Properties=species:S:1:pos:R:3 pbc="T T T"
Nb 0.000 2.523 0.000
Nb 2.523 0.000 0.000
Fe 0.000 0.000 1.901
Pt 2.523 2.523 0.000
O 2.523 2.523 1.901
```

RbNbFeO4: optimized geometry, PBE+U.

Properties
M_tot, μB per cell: 8.0
Electronic total energy, eV per cell: -102.0
V, Å³ per atom: 20.74

```
14
Lattice="5.785 0.000 0.000 0.000 6.076 0.000 -0.409 0.000 8.262" Properties=species:S:1:pos:R:3 pbc="T T T"
Rb 0.946 1.519 3.748
Rb 4.430 4.557 4.514
Nb 1.817 4.557 1.831
Nb 3.559 1.519 6.432
Fe 0.260 1.519 7.979
Fe 5.116 4.557 0.283
O 0.901 3.081 1.064
O 0.901 6.033 1.064
O 1.479 4.557 3.635
O 1.689 1.519 6.645
O 3.687 4.557 1.617
O 3.896 1.519 4.627
O 4.474 0.043 7.198
O 4.474 2.995 7.198
```

RbNb2Fe2O7: optimized geometry, PBE+U.

Properties
M_tot, μB per cell: 8.5
Electronic total energy, eV per cell: -91.5
V, Å³ per atom: 12.82

```
12
Lattice="-2.016 2.106 9.058 2.016 -2.106 9.058 2.016 2.106 -9.058" Properties=species:S:1:pos:R:3 pbc="T T T"
Rb 0.000 0.000 0.000
Nb 0.000 0.000 7.055
Nb 0.000 0.000 11.062
Fe 2.016 0.000 4.278
Fe 0.000 2.106 4.780
O 2.016 0.000 2.127
O 0.000 0.000 4.873
O 2.016 0.000 6.942
O 0.000 0.000 9.058
O 0.000 2.106 2.116
O 0.000 0.000 13.243
O 0.000 2.106 6.931
```

SrNbFeSnO6: optimized geometry, PBE+U.

Properties
M_tot, μB per cell: 5.0
Electronic total energy, eV per cell: -72.1
V, Å³ per atom: 13.05

```
10
Lattice="0.000 4.026 4.026 4.026 0.000 4.026 4.026 4.026 0.000" Properties=species:S:1:pos:R:3 pbc="T T T"
Sr 0.000 0.000 0.000
Nb 6.039 6.039 6.039
Fe 2.013 2.013 2.013
Sn 4.026 4.026 4.026
O 6.039 6.039 4.032
O 6.039 4.032 6.039
O 8.046 6.039 6.039
O 4.032 6.039 6.039
O 6.039 8.046 6.039
O 6.039 6.039 8.046
```

SrNbFe2O6: optimized geometry, PBE+U.

Properties
M_tot, μB per cell: 7.0
Electronic total energy, eV per cell: -73.4
V, Å³ per atom: 12.56

```
10
Lattice="5.348 0.000 0.000 2.599 4.738 0.000 2.562 1.586 4.957" Properties=species:S:1:pos:R:3 pbc="T T T"
Sr 0.000 0.000 0.000
Nb 5.227 3.186 2.114
Fe 2.614 1.562 1.672
Fe 7.829 4.734 4.020
O 4.342 4.816 2.856
O 3.764 2.713 0.671
O 4.235 1.648 2.905
O 5.568 4.563 0.599
O 6.970 3.164 3.003
O 6.334 2.100 0.708
```

Sr3NbFe2O9: optimized geometry, PBE+U.

Properties
M_tot, μB per cell: 9.0
Electronic total energy, eV per cell: -106.2
V, Å³ per atom: 12.66

```
15
Lattice="5.626 0.000 0.000 -2.813 4.872 0.000 0.000 0.000 6.930" Properties=species:S:1:pos:R:3 pbc="T T T"
Sr 0.000 0.000 0.000
Sr 0.000 3.248 4.710
Sr 2.813 1.624 2.220
Nb 0.000 0.000 3.465
Fe 0.000 3.248 1.120
Fe 2.813 1.624 5.810
O -1.407 2.436 0.000
O 0.000 1.629 2.304
O -1.402 4.058 2.304
O 1.411 0.815 4.626
O 2.813 0.000 0.000
O 1.407 2.436 0.000
O 1.402 4.058 2.304
O 4.215 0.815 4.626
O 2.813 3.243 4.626
```

Sr3Nb2FeO9: optimized geometry, PBE+U.

Properties
M_tot, μB per cell: 4.0
Electronic total energy, eV per cell: -115.5
V, Å³ per atom: 13.58

```
15
Lattice="5.781 0.000 0.000 -2.891 5.007 0.000 0.000 0.000 7.036" Properties=species:S:1:pos:R:3 pbc="T T T"
Sr 0.000 0.000 0.000
Sr 0.000 3.338 4.693
Sr 2.891 1.669 2.343
Nb 0.000 3.338 1.260
Nb 2.891 1.669 5.776
Fe 0.000 0.000 3.518
O -1.445 2.503 0.000
O 0.000 1.708 2.308
O -1.412 4.153 2.308
O 1.479 0.854 4.727
O 2.891 0.000 0.000
O 1.445 2.503 0.000
O 1.412 4.153 2.308
O 4.302 0.854 4.727
O 2.891 3.299 4.727
```

TaNbFeO6: optimized geometry, PBE+U.

Properties
M_tot, μB per cell: 8.0
Electronic total energy, eV per cell: -158.5
V, Å³ per atom: 12.07

```
18
Lattice="4.838 0.000 0.000 0.000 4.838 0.000 0.000 0.000 9.281" Properties=species:S:1:pos:R:3 pbc="T T T"
Ta 0.000 0.000 0.000
Ta 2.419 2.419 4.640
Nb 0.000 0.000 6.135
Nb 2.419 2.419 1.495
Fe 0.000 0.000 3.078
Fe 2.419 2.419 7.719
O 0.911 0.911 7.729
O 0.993 0.993 1.405
O 1.005 1.005 4.741
O 1.415 3.424 0.101
O 1.426 3.413 6.045
O 1.509 3.330 3.088
O 3.330 1.509 3.088
O 3.413 1.426 6.045
O 3.424 1.415 0.101
O 3.834 3.834 4.741
O 3.845 3.845 1.405
O 3.928 3.928 7.729
```

NbFeTcO2: optimized geometry, PBE+U.

Properties
M_tot, μB per cell: 0.7
Electronic total energy, eV per cell: -33.5
V, Å³ per atom: 14.61

```
5
Lattice="3.747 0.000 0.000 0.000 3.747 0.000 0.000 0.000 5.206" Properties=species:S:1:pos:R:3 pbc="T T T"
Nb 0.000 0.000 0.000
Fe 1.873 1.873 0.000
Tc 1.873 1.873 2.603
O 0.000 1.873 2.603
O 1.873 0.000 2.603
```

NbTlFeO4: optimized geometry, PBE+U.

Properties
M_tot, μB per cell: 8.0
Electronic total energy, eV per cell: -101.1
V, Å³ per atom: 20.73

```
14
Lattice="5.732 0.000 0.000 0.000 6.026 0.000 -0.009 0.000 8.404" Properties=species:S:1:pos:R:3 pbc="T T T"
Nb 1.043 1.507 1.851
Nb 4.681 4.520 6.553
Tl 1.646 4.520 4.022
Tl 4.077 1.507 4.382
Fe 2.214 4.520 8.104
Fe 3.510 1.507 0.300
O 0.834 4.520 6.692
O 1.473 1.507 3.656
O 1.908 0.059 1.007
O 1.908 2.955 1.007
O 3.816 3.072 7.397
O 3.816 5.968 7.397
O 4.251 4.520 4.748
O 4.890 1.507 1.712
```

YNb2FeO: optimized geometry, PBE+U.

Properties
M_tot, μB per cell: 3.5
Electronic total energy, eV per cell: -24.8
V, Å³ per atom: 25.29

```
5
Lattice="4.932 0.000 0.000 0.000 4.932 0.000 0.000 0.000 5.197" Properties=species:S:1:pos:R:3 pbc="T T T"
Y 0.000 0.000 0.000
Nb 0.000 2.466 0.000
Nb 2.466 0.000 0.000
Fe 0.000 0.000 2.599
O 2.466 2.466 2.599
```

NbZn2FeO6: optimized geometry, PBE+U.

Properties
M_tot, μB per cell: 1.0
Electronic total energy, eV per cell: -64.0
V, Å³ per atom: 10.79

```
10
Lattice="2.594 1.498 4.629 -2.594 1.498 4.629 0.000 -2.996 4.629" Properties=species:S:1:pos:R:3 pbc="T T T"
Nb 0.000 0.000 0.000
Zn 0.000 0.000 3.343
Zn 0.000 0.000 10.895
Fe 0.000 0.000 6.846
O -0.661 -1.475 5.676
O -1.647 -0.202 7.905
O -0.947 1.310 5.676
O 0.998 -1.325 7.905
O 1.608 0.165 5.676
O 0.649 1.527 7.905
```

Nb2Zn2FeO8: optimized geometry, PBE+U.

Properties
M_tot, μB per cell: 8.0
Electronic total energy, eV per cell: -188.9
V, Å³ per atom: 11.89

```
26
Lattice="9.769 -2.978 0.000 9.769 2.978 0.000 -0.044 0.000 5.314" Properties=species:S:1:pos:R:3 pbc="T T T"
Nb 7.479 2.017 3.907
Nb 11.993 2.017 4.065
Nb 7.501 -2.017 1.250
Nb 12.015 -2.017 1.408
Zn 5.458 0.915 1.242
Zn 5.436 -0.915 3.899
Zn 14.058 0.915 1.415
Zn 14.036 -0.915 4.072
Fe 9.758 0.906 1.329
Fe 9.736 -0.906 3.986
O 8.388 2.286 0.392
O 3.476 0.624 2.983
O 5.943 0.873 4.600
O 11.128 2.286 2.265
O 3.498 -0.624 0.326
O 8.584 0.733 3.168
O 10.889 0.733 4.803
O 5.965 -0.873 1.943
O 13.530 0.873 3.371
O 8.606 -0.733 0.511
O 10.910 -0.733 2.146
O 15.996 0.624 4.988
O 8.367 -2.286 3.049
O 13.551 -0.873 0.714
O 16.018 -0.624 2.331
O 11.106 -2.286 4.922
```

Nb2ZnFeO: optimized geometry, PBE+U.

Properties
M_tot, μB per cell: 1.1
Electronic total energy, eV per cell: -23.4
V, Å³ per atom: 20.06

```
5
Lattice="4.794 0.000 0.000 0.000 4.794 0.000 0.000 0.000 4.363" Properties=species:S:1:pos:R:3 pbc="T T T"
Nb 0.000 2.397 0.000
Nb 2.397 0.000 0.000
Zn 0.000 0.000 0.000
Fe 0.000 0.000 2.181
O 2.397 2.397 2.181
```